VASP calculation (PBE) on a relaxed structure of AcInGePd2.

Calculated total energy ... -25.3 eV per cell
Formation energy ... -67 kJ/mol of atoms

a b c (Å): 4.387 4.144 6.817
angles (deg): 107.69 108.77 90.00
Fractional positions:
Ac: 0.446 0.446 0.892
In: 0.189 0.689 0.378
Ge: 0.831 0.831 0.662
Pd: 0.708 0.208 0.416
Pd: 0.038 0.038 0.077

VASP calculation (PBE) on a relaxed structure of AcInGePd.

Calculated total energy ... -18.5 eV per cell
Formation energy ... -45 kJ/mol of atoms

a b c (Å): 5.153 5.153 5.153
angles (deg): 60.00 60.00 60.00
Fractional positions:
Ac: 0.750 0.750 0.750
Ge: 0.000 0.000 0.000
Pd: 0.500 0.500 0.500
In: 0.250 0.250 0.250

VASP calculation (PBE) on a relaxed structure of AcInGe2Pd5.

Calculated total energy ... -46.6 eV per cell
Formation energy ... -49 kJ/mol of atoms

a b c (Å): 4.739 4.739 7.866
angles (deg): 90.00 90.00 90.00
Fractional positions:
Ac: 0.000 0.000 0.500
In: 0.000 0.000 0.000
Ge: 0.500 0.500 0.156
Ge: 0.500 0.500 0.844
Pd: 0.000 0.500 0.249
Pd: 0.500 0.000 0.249
Pd: 0.000 0.500 0.751
Pd: 0.500 0.000 0.751
Pd: 0.500 0.500 0.500

VASP calculation (PBE) on a relaxed structure of AcIn2GePd2.

Calculated total energy ... -27.3 eV per cell
Formation energy ... -43 kJ/mol of atoms

a b c (Å): 4.654 4.654 8.045
angles (deg): 106.81 106.81 90.00
Fractional positions:
Ac: 0.500 0.500 0.000
In: 0.250 0.750 0.500
In: 0.750 0.250 0.500
Ge: 0.000 0.000 0.000
Pd: 0.841 0.841 0.683
Pd: 0.159 0.159 0.317

VASP calculation (PBE) on a relaxed structure of Ac2InGe4Pd3.

Calculated total energy ... -52.4 eV per cell
Formation energy ... -71 kJ/mol of atoms

a b c (Å): 4.448 4.448 10.925
angles (deg): 90.00 90.00 90.00
Fractional positions:
Ac: 0.500 0.000 0.237
Ac: 0.000 0.500 0.763
In: 0.500 0.500 0.500
Ge: 0.500 0.500 0.000
Ge: 0.000 0.000 0.000
Ge: 0.500 0.000 0.648
Ge: 0.000 0.500 0.352
Pd: 0.000 0.000 0.500
Pd: 0.500 0.000 0.879
Pd: 0.000 0.500 0.121

VASP calculation (PBE) on a relaxed structure of AcPmInGe.

Calculated total energy ... -18.0 eV per cell
Formation energy ... -43 kJ/mol of atoms

a b c (Å): 5.504 5.504 5.504
angles (deg): 60.00 60.00 60.00
Fractional positions:
Ac: 0.500 0.500 0.500
In: 0.750 0.750 0.750
Ge: 0.250 0.250 0.250
Pm: 0.000 0.000 0.000